Density functional theory data (PBE+U) for a relaxed structure of Mn3O5F.

The space group is C2/m (No. 12) and the conventional cell measures 8.8874, 6.3056 and 7.2312 Å, with angles of 90.00, 112.53 and 90.00 degrees. The asymmetric unit holds Mn at (0.0000, 0.0000, 0.0000), Mn at (0.0000, 0.0000, 0.5000), Mn at (0.1718, 0.5000, 0.1546), Mn at (0.1807, 0.5000, 0.6737), O at (0.0000, 0.3067, 0.0000), O at (0.0949, 0.0000, 0.2921), O at (0.1714, 0.1946, 0.6638), O at (0.2273, 0.0000, 0.0369) and F at (0.0591, 0.5000, 0.3661).

For the calculated volume, the calculation gives 93.58 Å³/f.u. For the final energy, the calculation gives -6.957 eV per atom. The calculation puts the total magnetic moment at 10.00 μB per formula unit.